# TlFe2Ir

A geometry-optimized TlFe2Ir structure (PBE-GGA, Alexandria via LeMat-Bulk).

Cell: 2.873 2.873 7.708 Å, 90.00 90.00 90.00°
Positions (direct):
Tl (0.000, 0.000, 0.000)
Fe (0.500, 0.500, 0.285)
Fe (0.500, 0.500, 0.715)
Ir (0.000, 0.000, 0.500)

Properties
For the formation energy from the elements, the calculation gives 0.37 eV per atom. As for the energy relative to the lowest polymorph listed for this composition: 0.0352 eV/atom.